# YErSn2Ir

An optimized crystal structure of YErSn2Ir (GGA-PBE, the Open Quantum Materials Database).

Theoretical density: 9.50 g cm⁻³
Symmetry: C2/m (12)
Raw total energy: -63.7 eV per cell
Calculated volume: 23.97 Å³/atom

```
YErSn2Ir
1.0
-4.528 3.206 1.964
-3.486 -0.190 4.738
9.701 4.520 1.889
Ir Er Sn Y
2 2 4 2
Direct
0.274 0.274 0.174
0.726 0.726 0.826
0.998 0.998 0.829
0.002 0.002 0.171
0.470 0.470 0.618
0.346 0.346 0.952
0.654 0.654 0.048
0.530 0.530 0.382
0.186 0.186 0.627
0.814 0.814 0.373
```